An optimized crystal structure of HfTiPbF2. Source: Alexandria, functional PBE-GGA.

a = 4.0733 Å, b = 4.0733 Å, c = 6.1779 Å
α = 90.00°, β = 90.00°, γ = 90.00°
Fractional positions:
Hf: 0.0000 0.0000 0.0000
Ti: 0.0000 0.0000 0.5000
Pb: 0.5000 0.5000 0.5000
F: 0.0000 0.5000 0.0000
F: 0.5000 0.0000 0.0000

Computed properties:
Uncorrected formation energy (eV per atom): -1.47

=====

An optimized crystal structure of Hf2PdF. Source: Alexandria, functional PBE-GGA.

a = 4.5941 Å, b = 4.5941 Å, c = 4.5941 Å
α = 60.00°, β = 60.00°, γ = 60.00°
Fractional positions:
Hf: 0.2500 0.2500 0.2500
Hf: 0.7500 0.7500 0.7500
Pd: 0.0000 0.0000 0.0000
F: 0.5000 0.5000 0.5000

Computed properties:
Energy above the lowest structure with this stoichiometry (meV per atom): 0.0
Uncorrected formation energy (eV per atom): -0.84

=====

An optimized crystal structure of HfPdF6. Source: Alexandria, functional PBE-GGA.

a = 5.2837 Å, b = 5.2837 Å, c = 10.0473 Å
α = 90.00°, β = 90.00°, γ = 120.00°
Fractional positions:
Hf: 0.0000 0.0000 0.0000
Hf: 0.0000 0.0000 0.5000
Pd: 0.3333 0.6667 0.2500
Pd: 0.6667 0.3333 0.7500
F: 0.0215 0.3200 0.1167
F: 0.0215 0.7016 0.3833
F: 0.2984 0.3200 0.3833
F: 0.2984 0.9785 0.1167
F: 0.3200 0.0215 0.6167
F: 0.3200 0.2984 0.8833
F: 0.6800 0.7016 0.1167
F: 0.6800 0.9785 0.3833
F: 0.7016 0.0215 0.8833
F: 0.7016 0.6800 0.6167
F: 0.9785 0.2984 0.6167
F: 0.9785 0.6800 0.8833

Computed properties:
Uncorrected formation energy (eV per atom): -2.78

=====

An optimized crystal structure of HfPd3F. Source: Alexandria, functional PBE-GGA.

a = 4.3582 Å, b = 4.3582 Å, c = 4.3582 Å
α = 90.00°, β = 90.00°, γ = 90.00°
Fractional positions:
Hf: 0.0000 0.0000 0.0000
Pd: 0.0000 0.5000 0.5000
Pd: 0.5000 0.0000 0.5000
Pd: 0.5000 0.5000 0.0000
F: 0.5000 0.5000 0.5000

Computed properties:
Energy above the lowest structure with this stoichiometry (meV per atom): 0.0
Uncorrected formation energy (eV per atom): -0.15

=====

An optimized crystal structure of Hf2PdF. Source: Alexandria, functional PBE-GGA.

a = 7.2837 Å, b = 7.2837 Å, c = 7.2837 Å
α = 139.67°, β = 139.67°, γ = 58.35°
Fractional positions:
Hf: 0.0632 0.6250 0.9382
Hf: 0.3750 0.3132 0.4382
Hf: 0.6868 0.1250 0.0618
Hf: 0.8750 0.9368 0.5618
Pd: 0.2500 0.7500 0.5000
Pd: 0.5000 0.5000 0.0000
F: 0.0000 0.0000 0.0000
F: 0.7500 0.2500 0.5000

Computed properties:
Energy above the lowest structure with this stoichiometry (meV per atom): 163.2
Uncorrected formation energy (eV per atom): -0.68

=====

An optimized crystal structure of Hf2Pd2F. Source: Alexandria, functional PBE-GGA.

a = 6.3299 Å, b = 6.3299 Å, c = 4.3089 Å
α = 90.00°, β = 90.00°, γ = 90.00°
Fractional positions:
Hf: 0.1675 0.3325 0.0000
Hf: 0.3325 0.8325 0.0000
Hf: 0.6675 0.1675 0.0000
Hf: 0.8325 0.6675 0.0000
Pd: 0.1462 0.6462 0.5000
Pd: 0.3538 0.1462 0.5000
Pd: 0.6462 0.8538 0.5000
Pd: 0.8538 0.3538 0.5000
F: 0.0000 0.0000 0.0000
F: 0.5000 0.5000 0.0000

Computed properties:
Uncorrected formation energy (eV per atom): -1.03

=====

An optimized crystal structure of HfPd3F. Source: Alexandria, functional PBE-GGA.

a = 4.9125 Å, b = 4.9125 Å, c = 4.9125 Å
α = 90.00°, β = 90.00°, γ = 90.00°
Fractional positions:
Hf: 0.0000 0.0000 0.0000
Pd: 0.0000 0.0000 0.5000
Pd: 0.0000 0.5000 0.0000
Pd: 0.5000 0.0000 0.0000
F: 0.5000 0.5000 0.5000

Computed properties:
Energy above the lowest structure with this stoichiometry (meV per atom): 599.2
Uncorrected formation energy (eV per atom): 0.45

=====

An optimized crystal structure of HfSi2PdF. Source: Alexandria, functional PBE-GGA.

a = 4.6238 Å, b = 4.6238 Å, c = 4.1032 Å
α = 90.00°, β = 90.00°, γ = 90.00°
Fractional positions:
Hf: 0.0000 0.0000 0.0000
Si: 0.0000 0.5000 0.5000
Si: 0.5000 0.0000 0.5000
Pd: 0.5000 0.5000 0.5000
F: 0.5000 0.5000 0.0000

Computed properties:
Uncorrected formation energy (eV per atom): -0.02

=====

An optimized crystal structure of Pm2HfF. Source: Alexandria, functional PBE-GGA.

a = 10.4938 Å, b = 10.4938 Å, c = 10.4938 Å
α = 17.72°, β = 17.72°, γ = 17.72°
Fractional positions:
Pm: 0.1038 0.1038 0.1038
Pm: 0.8962 0.8962 0.8962
Hf: 0.0000 0.0000 0.0000
F: 0.5000 0.5000 0.5000

Computed properties:
Uncorrected formation energy (eV per atom): -0.76

=====

An optimized crystal structure of Pr2HfF. Source: Alexandria, functional PBE-GGA.

a = 10.6005 Å, b = 10.6005 Å, c = 10.6005 Å
α = 17.77°, β = 17.77°, γ = 17.77°
Fractional positions:
Pr: 0.1033 0.1033 0.1033
Pr: 0.8967 0.8967 0.8967
Hf: 0.0000 0.0000 0.0000
F: 0.5000 0.5000 0.5000

Computed properties:
Uncorrected formation energy (eV per atom): -0.76

=====

An optimized crystal structure of HfPt2F2. Source: Alexandria, functional PBE-GGA.

a = 7.1023 Å, b = 7.1023 Å, c = 3.0342 Å
α = 90.00°, β = 90.00°, γ = 90.00°
Fractional positions:
Hf: 0.0000 0.0000 0.0000
Hf: 0.5000 0.5000 0.0000
Pt: 0.1268 0.3732 0.0000
Pt: 0.3732 0.8732 0.0000
Pt: 0.6268 0.1268 0.0000
Pt: 0.8732 0.6268 0.0000
F: 0.1847 0.6847 0.5000
F: 0.3153 0.1847 0.5000
F: 0.6847 0.8153 0.5000
F: 0.8153 0.3153 0.5000

Computed properties:
Energy above the lowest structure with this stoichiometry (meV per atom): 749.1
Uncorrected formation energy (eV per atom): -0.37

=====

An optimized crystal structure of HfPtF2. Source: Alexandria, functional PBE-GGA.

a = 10.4797 Å, b = 10.4797 Å, c = 10.4797 Å
α = 15.38°, β = 15.38°, γ = 15.38°
Fractional positions:
Hf: 0.0000 0.0000 0.0000
Pt: 0.5000 0.5000 0.5000
F: 0.3822 0.3822 0.3822
F: 0.6178 0.6178 0.6178

Computed properties:
Energy above the lowest structure with this stoichiometry (meV per atom): 57.1
Uncorrected formation energy (eV per atom): -1.64

=====

An optimized crystal structure of Hf3PtF. Source: Alexandria, functional PBE-GGA.

a = 4.4247 Å, b = 4.4247 Å, c = 4.4247 Å
α = 90.00°, β = 90.00°, γ = 90.00°
Fractional positions:
Hf: 0.0000 0.0000 0.5000
Hf: 0.0000 0.5000 0.0000
Hf: 0.5000 0.0000 0.0000
Pt: 0.5000 0.5000 0.5000
F: 0.0000 0.0000 0.0000

Computed properties:
Energy above the lowest structure with this stoichiometry (meV per atom): 0.0
Uncorrected formation energy (eV per atom): -0.65